(A)
Pm4MgRu after structural relaxation, computed with GGA-PBE.

SG: C2/c (15)
N(E_F): 15.16 states/eV per cell

```
Pm4MgRu
1.0
6.257 -0.728 0.000
-2.513 9.107 0.000
-1.872 -4.190 6.512
Pm Mg Ru
8 2 2
Cartesian
-1.521 -1.759 5.373
1.760 3.256 4.353
-1.607 2.123 5.373
-1.145 5.487 4.353
3.016 -1.297 2.159
3.479 2.067 1.139
0.112 0.933 2.159
3.392 5.948 1.139
0.308 4.372 1.552
1.564 -0.182 4.960
-2.821 4.736 6.496
4.692 -0.546 0.016
```

---

(B)
Pm4MgRu after structural relaxation, computed with GGA-PBE.

SG: F-43m (216)
N(E_F): 27.69 states/eV per cell

```
Pm4MgRu
1.0
-0.967 -8.559 -4.932
7.597 -3.556 -5.306
4.858 -8.085 3.091
Pm Mg Ru
16 4 4
Cartesian
4.663 -8.199 -2.901
4.299 -11.421 -4.758
7.523 -9.538 -4.898
6.491 -11.243 -1.738
8.282 -14.391 -2.850
8.950 -15.909 -7.871
9.314 -12.685 -6.013
7.918 -17.615 -4.708
6.088 -14.570 -5.873
11.144 -15.731 -4.849
5.191 -8.843 0.583
6.297 -11.357 -7.731
6.900 -6.018 -4.654
4.588 -14.182 -2.493
1.558 -9.139 -4.421
9.930 -11.062 -2.726
1.969 -3.463 -1.225
1.665 -6.153 -2.776
4.357 -4.581 -2.893
3.496 -6.004 -0.254
7.031 -12.363 -4.374
7.464 -8.528 -2.164
3.627 -10.770 -1.997
4.854 -8.740 -5.759
```

---

Tell me which of them is the most stable. Sure, it is (B).

---

(A)
Pm6MgRu2 after structural relaxation, computed with GGA-PBE.

SG: Immm (71)
N(E_F): 16.89 states/eV per cell

```
Pm6MgRu2
1.0
8.190 -0.118 -3.005
-4.392 7.158 -2.364
-0.107 0.118 8.723
Pm Mg Ru
12 2 4
Cartesian
1.132 5.154 3.837
2.559 2.004 -0.483
-0.503 2.122 6.149
4.195 5.036 -2.795
3.115 5.426 0.675
0.576 1.733 2.679
-1.780 5.544 6.010
5.472 1.615 -2.656
3.955 2.585 2.981
-0.264 4.574 0.373
-1.845 7.131 2.609
5.537 0.027 0.746
-2.249 3.638 3.180
0.000 0.000 0.000
2.351 2.734 5.249
1.340 4.424 -1.894
5.541 0.000 3.920
2.543 0.000 1.799
```

---

(B)
Pm6MgRu2 after structural relaxation, computed with GGA-PBE.

SG: C2/m (12)
N(E_F): 8.88 states/eV per cell

```
Pm6MgRu2
1.0
-2.829 -3.801 -2.196
5.770 -0.624 -0.143
1.354 -5.378 7.565
Pm Mg Ru
6 1 2
Cartesian
3.751 -8.794 4.182
0.631 -3.842 -0.371
3.665 -5.960 5.597
0.811 -6.037 3.196
3.484 -3.766 2.030
0.544 -1.008 1.044
0.677 -2.689 3.783
0.793 -7.333 5.464
3.503 -2.469 -0.238
```

---

Tell me which of them is the most stable. Sure, it is (A).

---

(A)
TbPmMgRu after structural relaxation, computed with GGA-PBE.

SG: P4mm (99)
N(E_F): 3.59 states/eV per cell

```
TbPmMgRu
1.0
-1.348 2.513 1.925
0.612 -1.846 2.839
7.740 3.625 0.688
Tb Pm Mg Ru
1 1 1 1
Cartesian
2.526 1.690 2.639
5.584 3.122 2.911
0.595 0.279 0.053
4.372 2.048 0.389
```

---

(B)
TbPmMgRu after structural relaxation, computed with GGA-PBE.

SG: F-43m (216)
N(E_F): 3.80 states/eV per cell

```
TbPmMgRu
1.0
-0.825 -0.986 -4.931
-4.138 -2.614 -1.418
-3.780 2.358 -2.472
Ru Mg Tb Pm
1 1 1 1
Cartesian
-4.371 -0.621 -4.410
0.000 0.000 0.000
-2.186 -0.310 -2.205
-6.557 -0.931 -6.615
```

---

Tell me which of them is the most stable. Sure, it is (A).

---

(A)
PmYMgRu after structural relaxation, computed with GGA-PBE.

SG: F-43m (216)
N(E_F): 3.88 states/eV per cell

```
PmYMgRu
1.0
5.093 0.000 0.000
2.547 4.411 0.000
2.547 1.470 4.159
Y Ru Mg Pm
1 1 1 1
Cartesian
5.093 2.941 2.079
7.640 4.411 3.119
2.547 1.470 1.040
0.000 0.000 0.000
```

---

(B)
PmYMgRu after structural relaxation, computed with GGA-PBE.

SG: P4mm (99)
N(E_F): 3.59 states/eV per cell

```
PmYMgRu
1.0
-1.192 -2.388 2.257
2.870 0.412 1.952
-3.735 5.880 4.248
Pm Y Mg Ru
1 1 1 1
Cartesian
-2.061 3.578 5.403
-0.525 1.160 3.656
-0.291 0.458 0.331
-2.111 3.325 2.402
```

---

Tell me which of them is the most stable. Sure, it is (B).

---

(A)
Pm2MgS4 after structural relaxation, computed with GGA-PBE.

SG: Pnma (62)
N(E_F): 0.00 states/eV per cell

```
Pm2MgS4
1.0
6.639 0.000 0.000
0.000 8.154 0.000
0.000 0.000 13.831
Pm Mg S
8 4 16
Cartesian
3.319 0.000 0.000
0.000 0.000 6.915
0.000 4.077 6.915
3.319 4.077 0.000
6.567 6.115 3.171
0.071 2.038 10.660
3.248 2.038 3.744
3.391 6.115 10.087
6.099 2.038 1.342
0.540 6.115 12.489
2.779 6.115 5.574
3.860 2.038 8.257
4.908 0.129 2.358
1.730 8.024 11.472
1.589 8.024 4.557
5.050 0.129 9.274
5.050 3.948 9.274
1.589 4.206 4.557
1.730 4.206 11.472
4.908 3.948 2.358
1.600 6.115 0.913
5.039 2.038 12.918
4.919 2.038 6.003
1.719 6.115 7.828
1.869 2.038 1.254
4.770 6.115 12.577
5.188 6.115 5.661
1.450 2.038 8.170
```

---

(B)
Pm2MgS4 after structural relaxation, computed with GGA-PBE.

SG: P-1 (2)
N(E_F): 0.00 states/eV per cell

```
Pm2MgS4
1.0
7.360 -0.132 -0.110
-0.307 8.745 -0.212
-1.453 -2.420 12.094
Pm Mg S
8 4 16
Cartesian
5.412 1.119 7.721
0.188 5.075 4.051
4.094 -1.493 11.750
1.506 7.687 0.023
3.904 2.374 3.177
1.696 3.819 8.595
3.957 7.360 4.139
1.643 -1.167 7.634
5.179 5.276 8.058
0.421 0.917 3.714
4.078 2.533 11.712
1.522 3.660 0.060
5.377 0.731 10.467
0.222 5.462 1.305
5.050 4.924 10.478
0.550 1.270 1.294
5.651 0.931 4.830
-0.051 5.263 6.942
4.881 4.881 3.843
0.719 1.313 7.929
4.349 -1.424 7.271
1.251 7.618 4.502
3.972 3.327 7.301
1.628 2.867 4.471
4.077 -0.254 1.858
1.523 6.448 9.914
4.011 3.055 0.610
1.589 3.139 11.162
```

---

(C)
Pm2MgS4 after structural relaxation, computed with GGA-PBE.

SG: Pbca (61)
N(E_F): 0.00 states/eV per cell

```
Pm2MgS4
1.0
6.671 0.000 0.000
0.000 7.272 0.000
0.000 0.000 13.903
Pm Mg S
8 4 16
Cartesian
0.028 6.529 11.922
3.363 4.380 1.981
6.644 2.893 8.932
3.308 0.744 4.971
6.644 0.744 1.981
3.308 2.893 11.922
0.028 4.380 4.971
3.363 6.529 8.932
0.000 0.000 6.951
3.336 3.636 6.951
0.000 3.636 0.000
3.336 0.000 0.000
5.434 5.000 7.531
2.098 5.909 6.372
1.238 1.364 13.323
4.573 2.272 0.580
1.238 2.272 6.372
4.573 1.364 7.531
5.434 5.909 0.580
2.098 5.000 13.323
0.819 0.264 9.453
4.155 3.372 4.449
5.852 3.900 11.401
2.516 7.008 2.502
5.852 7.008 4.449
2.516 3.900 9.453
0.819 3.372 2.502
4.155 0.264 11.401
```

---

Tell me which of them is the most stable. Sure, it is (A).

---

(A)
Pm2MgS4 after structural relaxation, computed with GGA-PBE.

SG: Pnma (62)
N(E_F): 0.00 states/eV per cell

```
Pm2MgS4
1.0
-0.835 5.088 -5.029
-6.875 -3.618 -2.519
-6.186 6.478 7.581
Pm Mg S
8 4 16
Cartesian
-2.802 5.720 -1.485
-11.094 2.228 1.517
-8.439 4.857 3.735
-5.457 3.092 -3.703
-0.990 1.172 -1.229
-12.907 6.776 1.261
-6.771 5.760 -0.785
-7.125 2.188 0.817
-4.089 3.277 1.415
-9.808 4.671 -1.383
-8.421 8.628 2.390
-5.475 -0.679 -2.358
-6.611 7.496 3.567
-7.286 0.452 -3.535
-5.036 3.505 -0.820
-8.860 4.443 0.852
-8.450 1.942 3.324
-5.446 6.006 -3.292
-7.696 2.953 -6.007
-6.200 4.995 6.039
-9.228 0.882 -0.155
-4.668 7.067 0.187
-10.550 7.817 1.922
-3.347 0.132 -1.890
-2.749 3.768 -3.468
-11.148 4.180 3.500
-5.976 4.173 2.635
-7.921 3.776 -2.603
```

---

(B)
Pm2MgS4 after structural relaxation, computed with GGA-PBE.

SG: Pnma (62)
N(E_F): 0.00 states/eV per cell

```
Pm2MgS4
1.0
3.950 0.000 0.000
0.000 12.910 0.000
0.000 0.000 13.891
Pm Mg S
8 4 16
Cartesian
0.988 1.574 1.029
2.963 11.336 12.862
2.963 4.881 7.974
0.988 8.028 5.916
0.988 1.696 9.823
2.963 11.214 4.068
2.963 4.759 2.878
0.988 8.150 11.013
2.963 1.382 6.423
0.988 11.528 7.467
0.988 5.073 13.369
2.963 7.837 0.522
2.963 0.014 8.531
0.988 12.896 5.360
0.988 6.441 1.586
2.963 6.469 12.305
0.988 0.314 12.299
2.963 12.596 1.591
2.963 6.141 5.354
0.988 6.769 8.537
0.988 2.983 3.401
2.963 9.927 10.490
2.963 3.472 10.346
0.988 9.438 3.545
2.963 3.471 0.224
0.988 9.439 13.667
0.988 2.984 7.169
2.963 9.925 6.721
```

---

Tell me which of them is the most stable. Sure, it is (B).